(1)
# KZrW (PBE-GGA, relaxed)
# Distance to the lowest polymorph of the same formula, meV per atom: 153
# Formation energy, meV per atom: 1019
# Total DFT energy (no corrections), eV/atom: -6.514
data_KZrW
_chemical_formula_sum 'K1 Zr1 W1'
_cell_length_a 2.9410
_cell_length_b 2.9410
_cell_length_c 9.2705
_cell_angle_alpha 90.00
_cell_angle_beta 90.00
_cell_angle_gamma 120.00
_space_group_name_H-M_alt 'P 3 m 1'
_space_group_IT_number 156
_space_group_name_Hall 'P 3 -2"'
loop_
_atom_site_label
_atom_site_type_symbol
_atom_site_fract_x
_atom_site_fract_y
_atom_site_fract_z
K1 K 0.0000 0.0000 0.0000
Zr1 Zr 0.3333 0.6667 0.6169
W1 W 0.6667 0.3333 0.3363


(2)
# TaCu2Pt (PBE-GGA, relaxed)
# Distance to the lowest polymorph of the same formula, meV per atom: 579
# Formation energy, meV per atom: 354
# Total DFT energy (no corrections), eV/atom: -6.168
data_TaCu2Pt
_chemical_formula_sum 'Ta4 Cu8 Pt4'
_cell_length_a 6.984
_cell_length_b 6.984
_cell_length_c 5.186
_cell_angle_alpha 90.00
_cell_angle_beta 90.00
_cell_angle_gamma 90.00
_space_group_name_H-M_alt 'I -4 2 d'
_space_group_IT_number 122
_space_group_name_Hall 'I -4 2bw'
loop_
_atom_site_label
_atom_site_type_symbol
_atom_site_fract_x
_atom_site_fract_y
_atom_site_fract_z
Ta1 Ta 0.000 0.000 0.000
Cu1 Cu 0.245 0.250 0.625
Pt1 Pt 0.000 0.000 0.500


(3)
# PaAg3 (PBE-GGA, relaxed)
# Distance to the lowest polymorph of the same formula, meV per atom: 0
# Formation energy, meV per atom: 235
# Total DFT energy (no corrections), eV/atom: -4.278
data_PaAg3
_chemical_formula_sum 'Pa4 Ag12'
_cell_length_a 6.967
_cell_length_b 6.967
_cell_length_c 6.967
_cell_angle_alpha 90.00
_cell_angle_beta 90.00
_cell_angle_gamma 90.00
_space_group_name_H-M_alt 'F m -3 m'
_space_group_IT_number 225
_space_group_name_Hall '-F 4 2 3'
loop_
_atom_site_label
_atom_site_type_symbol
_atom_site_fract_x
_atom_site_fract_y
_atom_site_fract_z
Pa1 Pa 0.000 0.000 0.000
Ag1 Ag 0.000 0.000 0.500
Ag2 Ag 0.250 0.250 0.250


(4)
# KZr2BSe (PBE-GGA, relaxed)
# Formation energy (no corrections), eV per atom: 2.113
# Total DFT energy (no corrections), eV/atom: -3.558
data_KZr2BSe
_chemical_formula_sum 'K1 Zr2 B1 Se1'
_cell_length_a 5.076
_cell_length_b 5.076
_cell_length_c 4.081
_cell_angle_alpha 90.00
_cell_angle_beta 90.00
_cell_angle_gamma 90.00
_space_group_name_H-M_alt 'P 4/m m m'
_space_group_IT_number 123
_space_group_name_Hall '-P 4 2'
loop_
_atom_site_label
_atom_site_type_symbol
_atom_site_fract_x
_atom_site_fract_y
_atom_site_fract_z
K1 K 0.000 0.000 0.000
Zr1 Zr 0.000 0.500 0.000
B1 B 0.000 0.000 0.500
Se1 Se 0.500 0.500 0.500


(5)
# HfAlTcPt (PBE-GGA, relaxed)
# Formation energy, meV per atom: -810
# Total DFT energy (no corrections), eV/atom: -8.336
data_HfAlTcPt
_chemical_formula_sum 'Hf4 Al4 Tc4 Pt4'
_cell_length_a 6.348
_cell_length_b 6.348
_cell_length_c 6.348
_cell_angle_alpha 90.00
_cell_angle_beta 90.00
_cell_angle_gamma 90.00
_space_group_name_H-M_alt 'F -4 3 m'
_space_group_IT_number 216
_space_group_name_Hall 'F -4 2 3'
loop_
_atom_site_label
_atom_site_type_symbol
_atom_site_fract_x
_atom_site_fract_y
_atom_site_fract_z
Hf1 Hf 0.000 0.000 0.000
Al1 Al 0.000 0.000 0.500
Tc1 Tc 0.250 0.250 0.750
Pt1 Pt 0.250 0.250 0.250


(6)
# Pm6AsS5 (PBE-GGA, relaxed)
# Formation energy (no corrections), eV per atom: -1.959
# Total DFT energy (no corrections), eV/atom: -6.442
data_Pm6AsS5
_chemical_formula_sum 'Pm12 As2 S10'
_cell_length_a 7.038
_cell_length_b 12.208
_cell_length_c 7.059
_cell_angle_alpha 90.00
_cell_angle_beta 109.35
_cell_angle_gamma 90.00
_space_group_name_H-M_alt 'C 1 2/m 1'
_space_group_IT_number 12
_space_group_name_Hall '-C 2y'
loop_
_atom_site_label
_atom_site_type_symbol
_atom_site_fract_x
_atom_site_fract_y
_atom_site_fract_z
Pm1 Pm 0.247 0.167 0.247
Pm2 Pm 0.248 0.000 0.752
As1 As 0.000 0.500 0.500
S1 S 0.000 0.000 0.000
S2 S 0.000 0.167 0.500
S3 S 0.000 0.335 0.000


(7)
# CaAcZn2Ag2 (PBE-GGA, relaxed)
# Formation energy, meV per atom: -302
# Total DFT energy (no corrections), eV/atom: -2.696
data_CaAcZn2Ag2
_chemical_formula_sum 'Ca1 Ac1 Zn2 Ag2'
_cell_length_a 4.6884
_cell_length_b 4.6884
_cell_length_c 7.7739
_cell_angle_alpha 90.00
_cell_angle_beta 90.00
_cell_angle_gamma 120.00
_space_group_name_H-M_alt 'P -3 m 1'
_space_group_IT_number 164
_space_group_name_Hall '-P 3 2"'
loop_
_atom_site_label
_atom_site_type_symbol
_atom_site_fract_x
_atom_site_fract_y
_atom_site_fract_z
Ca1 Ca 0.0000 0.0000 0.0000
Ac1 Ac 0.0000 0.0000 0.5000
Zn1 Zn 0.3333 0.6667 0.7706
Ag1 Ag 0.3333 0.6667 0.2290


(8)
# TbCu6Ge2 (PBE-GGA, relaxed)
# Formation energy, meV per atom: -232
# Total DFT energy (no corrections), eV/atom: -4.504
data_TbCu6Ge2
_chemical_formula_sum 'Tb1 Cu6 Ge2'
_cell_length_a 4.090
_cell_length_b 4.090
_cell_length_c 8.038
_cell_angle_alpha 90.00
_cell_angle_beta 90.00
_cell_angle_gamma 90.00
_space_group_name_H-M_alt 'P 4/m m m'
_space_group_IT_number 123
_space_group_name_Hall '-P 4 2'
loop_
_atom_site_label
_atom_site_type_symbol
_atom_site_fract_x
_atom_site_fract_y
_atom_site_fract_z
Tb1 Tb 0.000 0.000 0.000
Cu1 Cu 0.000 0.000 0.500
Cu2 Cu 0.000 0.500 0.316
Cu3 Cu 0.500 0.500 0.500
Ge1 Ge 0.500 0.500 0.155


(9)
# Pm2PS (PBE-GGA, relaxed)
# Formation energy (no corrections), eV per atom: -1.867
# Distance to the lowest polymorph of the same formula, meV per atom: 0
# Total DFT energy (no corrections), eV/atom: -6.627
data_Pm2PS
_chemical_formula_sum 'Pm8 P4 S4'
_cell_length_a 5.773
_cell_length_b 5.773
_cell_length_c 11.583
_cell_angle_alpha 90.00
_cell_angle_beta 90.00
_cell_angle_gamma 90.00
_space_group_name_H-M_alt 'I 41/a m d'
_space_group_IT_number 141
loop_
_space_group_symop_operation_xyz
'x,y,z'
'-x,-y,-z'
'-y+1/4,x+3/4,z+1/4'
'y+1/4,-x+3/4,-z+1/4'
'-x+1/2,-y,z+1/2'
'x+1/2,y,-z+1/2'
'y+1/4,-x+1/4,z+3/4'
'-y+1/4,x+1/4,-z+3/4'
'x,-y,-z'
'-x,y,z'
'-y+1/4,-x+1/4,-z+3/4'
'y+1/4,x+1/4,z+3/4'
'-x+1/2,y,-z+1/2'
'x+1/2,-y,z+1/2'
'y+1/4,x+3/4,-z+1/4'
'-y+1/4,-x+3/4,z+1/4'
'x+1/2,y+1/2,z+1/2'
'-x+1/2,-y+1/2,-z+1/2'
'-y+3/4,x+1/4,z+3/4'
'y+3/4,-x+1/4,-z+3/4'
'-x,-y+1/2,z'
'x,y+1/2,-z'
'y+3/4,-x+3/4,z+1/4'
'-y+3/4,x+3/4,-z+1/4'
'x+1/2,-y+1/2,-z+1/2'
'-x+1/2,y+1/2,z+1/2'
'-y+3/4,-x+3/4,-z+1/4'
'y+3/4,x+3/4,z+1/4'
'-x,y+1/2,-z'
'x,-y+1/2,z'
'y+3/4,x+1/4,-z+3/4'
'-y+3/4,-x+1/4,z+3/4'
loop_
_atom_site_label
_atom_site_type_symbol
_atom_site_fract_x
_atom_site_fract_y
_atom_site_fract_z
Pm1 Pm 0.000 0.250 0.121
P1 P 0.000 0.250 0.875
S1 S 0.000 0.250 0.375


(10)
# Y2ZrTlTe (PBE-GGA, relaxed)
# Formation energy (no corrections), eV per atom: 0.487
# Distance to the lowest polymorph of the same formula, meV per atom: 215
# Total DFT energy (no corrections), eV/atom: -4.909
data_Y2ZrTlTe
_chemical_formula_sum 'Y2 Zr1 Tl1 Te1'
_cell_length_a 5.576
_cell_length_b 5.576
_cell_length_c 5.940
_cell_angle_alpha 90.00
_cell_angle_beta 90.00
_cell_angle_gamma 90.00
_space_group_name_H-M_alt 'P 4/m m m'
_space_group_IT_number 123
_space_group_name_Hall '-P 4 2'
loop_
_atom_site_label
_atom_site_type_symbol
_atom_site_fract_x
_atom_site_fract_y
_atom_site_fract_z
Y1 Y 0.000 0.500 0.000
Zr1 Zr 0.000 0.000 0.500
Tl1 Tl 0.500 0.500 0.500
Te1 Te 0.500 0.500 0.000


(11)
# AgP3I (PBE-GGA, relaxed)
# Formation energy (no corrections), eV per atom: 1.239
# Distance to the lowest polymorph of the same formula, meV per atom: 0
# Total DFT energy (no corrections), eV/atom: -2.887
data_AgP3I
_chemical_formula_sum 'Ag1 P3 I1'
_cell_length_a 4.880
_cell_length_b 4.880
_cell_length_c 4.880
_cell_angle_alpha 90.00
_cell_angle_beta 90.00
_cell_angle_gamma 90.00
_space_group_name_H-M_alt 'P m -3 m'
_space_group_IT_number 221
_space_group_name_Hall '-P 4 2 3'
loop_
_atom_site_label
_atom_site_type_symbol
_atom_site_fract_x
_atom_site_fract_y
_atom_site_fract_z
Ag1 Ag 0.000 0.000 0.000
P1 P 0.000 0.000 0.500
I1 I 0.500 0.500 0.500


(12)
# Pu2Sn4Hg (PBE-GGA, relaxed)
# Formation energy, meV per atom: -203
# Total DFT energy (no corrections), eV/atom: -6.628
data_Pu2Sn4Hg
_chemical_formula_sum 'Pu4 Sn8 Hg2'
_cell_length_a 7.576
_cell_length_b 10.208
_cell_length_c 5.033
_cell_angle_alpha 90.00
_cell_angle_beta 90.00
_cell_angle_gamma 90.00
_space_group_name_H-M_alt 'C m m m'
_space_group_IT_number 65
_space_group_name_Hall '-C 2 2'
loop_
_atom_site_label
_atom_site_type_symbol
_atom_site_fract_x
_atom_site_fract_y
_atom_site_fract_z
Pu1 Pu 0.000 0.212 0.000
Sn1 Sn 0.195 0.500 0.000
Sn2 Sn 0.250 0.250 0.500
Hg1 Hg 0.000 0.000 0.500


(13)
# YMg2BiC (PBE-GGA, relaxed)
# Formation energy, meV per atom: -299
# Total DFT energy (no corrections), eV/atom: -4.851
data_YMg2BiC
_chemical_formula_sum 'Y1 Mg2 Bi1 C1'
_cell_length_a 4.532
_cell_length_b 4.532
_cell_length_c 4.990
_cell_angle_alpha 90.00
_cell_angle_beta 90.00
_cell_angle_gamma 90.00
_space_group_name_H-M_alt 'P 4/m m m'
_space_group_IT_number 123
_space_group_name_Hall '-P 4 2'
loop_
_atom_site_label
_atom_site_type_symbol
_atom_site_fract_x
_atom_site_fract_y
_atom_site_fract_z
Y1 Y 0.000 0.000 0.000
Mg1 Mg 0.000 0.500 0.500
Bi1 Bi 0.500 0.500 0.000
C1 C 0.000 0.000 0.500


(14)
# RbCdHg2Au (PBE-GGA, relaxed)
# Distance to the lowest polymorph of the same formula, meV per atom: 178
# Formation energy, meV per atom: -20
# Total DFT energy (no corrections), eV/atom: -1.172
data_RbCdHg2Au
_chemical_formula_sum 'Rb1 Cd1 Hg2 Au1'
_cell_length_a 5.499
_cell_length_b 5.499
_cell_length_c 6.428
_cell_angle_alpha 90.00
_cell_angle_beta 90.00
_cell_angle_gamma 90.00
_space_group_name_H-M_alt 'P 4/m m m'
_space_group_IT_number 123
_space_group_name_Hall '-P 4 2'
loop_
_atom_site_label
_atom_site_type_symbol
_atom_site_fract_x
_atom_site_fract_y
_atom_site_fract_z
Rb1 Rb 0.000 0.000 0.000
Cd1 Cd 0.500 0.500 0.000
Hg1 Hg 0.000 0.500 0.500
Au1 Au 0.000 0.000 0.500


(15)
# Ta2PSe2 (PBE-GGA, relaxed)
# Formation energy (no corrections), eV per atom: -0.128
# Distance to the lowest polymorph of the same formula, meV per atom: 0
# Total DFT energy (no corrections), eV/atom: -7.344
data_Ta2PSe2
_chemical_formula_sum 'Ta4 P2 Se4'
_cell_length_a 7.020
_cell_length_b 7.020
_cell_length_c 3.591
_cell_angle_alpha 90.00
_cell_angle_beta 90.00
_cell_angle_gamma 90.00
_space_group_name_H-M_alt 'P 4/m b m'
_space_group_IT_number 127
_space_group_name_Hall '-P 4 2ab'
loop_
_atom_site_label
_atom_site_type_symbol
_atom_site_fract_x
_atom_site_fract_y
_atom_site_fract_z
Ta1 Ta 0.150 0.350 0.000
P1 P 0.000 0.000 0.000
Se1 Se 0.144 0.644 0.500


(16)
# LiBSe2 (PBE-GGA, relaxed)
# Formation energy (no corrections), eV per atom: -0.275
# Total DFT energy (no corrections), eV/atom: -4.165
data_LiBSe2
_chemical_formula_sum 'Li1 B1 Se2'
_cell_length_a 3.5889
_cell_length_b 3.5889
_cell_length_c 6.4622
_cell_angle_alpha 90.00
_cell_angle_beta 90.00
_cell_angle_gamma 120.00
_space_group_name_H-M_alt 'P 3 m 1'
_space_group_IT_number 156
_space_group_name_Hall 'P 3 -2"'
loop_
_atom_site_label
_atom_site_type_symbol
_atom_site_fract_x
_atom_site_fract_y
_atom_site_fract_z
Li1 Li 0.0000 0.0000 0.0000
B1 B 0.3333 0.6667 0.5206
Se1 Se 0.3333 0.6667 0.8149
Se2 Se 0.6667 0.3333 0.3770


(17)
# Tb3HoZn4 (PBE-GGA, relaxed)
# Formation energy, meV per atom: -341
# Total DFT energy (no corrections), eV/atom: -3.286
data_Tb3HoZn4
_chemical_formula_sum 'Tb9 Ho3 Zn12'
_cell_length_a 5.0625
_cell_length_b 5.0625
_cell_length_c 24.7295
_cell_angle_alpha 90.00
_cell_angle_beta 90.00
_cell_angle_gamma 120.00
_space_group_name_H-M_alt 'R -3 m'
_space_group_IT_number 166
_space_group_name_Hall '-R 3 2"'
loop_
_atom_site_label
_atom_site_type_symbol
_atom_site_fract_x
_atom_site_fract_y
_atom_site_fract_z
Tb1 Tb 0.0000 0.0000 0.0000
Tb2 Tb 0.0000 0.0000 0.2496
Ho1 Ho 0.0000 0.0000 0.5000
Zn1 Zn 0.0000 0.0000 0.1253
Zn2 Zn 0.0000 0.0000 0.3753


(18)
# Eu2PuCd (PBE-GGA, relaxed)
# Distance to the lowest polymorph of the same formula, meV per atom: 288
# Formation energy, meV per atom: 281
# Total DFT energy (no corrections), eV/atom: -8.668
data_Eu2PuCd
_chemical_formula_sum 'Eu6 Pu3 Cd3'
_cell_length_a 3.5954
_cell_length_b 3.5954
_cell_length_c 37.7531
_cell_angle_alpha 90.00
_cell_angle_beta 90.00
_cell_angle_gamma 120.00
_space_group_name_H-M_alt 'R -3 m'
_space_group_IT_number 166
_space_group_name_Hall '-R 3 2"'
loop_
_atom_site_label
_atom_site_type_symbol
_atom_site_fract_x
_atom_site_fract_y
_atom_site_fract_z
Eu1 Eu 0.0000 0.0000 0.0878
Pu1 Pu 0.0000 0.0000 0.5000
Cd1 Cd 0.0000 0.0000 0.0000


(19)
# YTmSnRu (PBE-GGA, relaxed)
# Formation energy, meV per atom: -432
# Total DFT energy (no corrections), eV/atom: -6.486
data_YTmSnRu
_chemical_formula_sum 'Y4 Tm4 Sn4 Ru4'
_cell_length_a 7.130
_cell_length_b 7.130
_cell_length_c 7.130
_cell_angle_alpha 90.00
_cell_angle_beta 90.00
_cell_angle_gamma 90.00
_space_group_name_H-M_alt 'F -4 3 m'
_space_group_IT_number 216
_space_group_name_Hall 'F -4 2 3'
loop_
_atom_site_label
_atom_site_type_symbol
_atom_site_fract_x
_atom_site_fract_y
_atom_site_fract_z
Y1 Y 0.000 0.000 0.000
Tm1 Tm 0.000 0.000 0.500
Sn1 Sn 0.250 0.250 0.750
Ru1 Ru 0.250 0.250 0.250


(20)
# PaCuAu6 (PBE-GGA, relaxed)
# Formation energy, meV per atom: 54
# Total DFT energy (no corrections), eV/atom: -4.103
data_PaCuAu6
_chemical_formula_sum 'Pa3 Cu3 Au18'
_cell_length_a 5.5072
_cell_length_b 5.5072
_cell_length_c 21.6007
_cell_angle_alpha 90.00
_cell_angle_beta 90.00
_cell_angle_gamma 120.00
_space_group_name_H-M_alt 'R -3 m'
_space_group_IT_number 166
_space_group_name_Hall '-R 3 2"'
loop_
_atom_site_label
_atom_site_type_symbol
_atom_site_fract_x
_atom_site_fract_y
_atom_site_fract_z
Pa1 Pa 0.0000 0.0000 0.0000
Cu1 Cu 0.0000 0.0000 0.5000
Au1 Au 0.0031 0.5016 0.9277